Li4Cr3FeO8: relaxed, PBE+U.

The density of states at the Fermi level comes out at 0.00 states/eV per cell. The energy comes out at -6.612 eV/atom.

It has space group P2/m (No. 10), with a = 5.1062 Å, b = 5.8982 Å, c = 5.1239 Å, α = 90.00°, β = 109.39° and γ = 90.00°. The asymmetric unit holds Li at (0.0000, 0.0000, 0.0000), Li at (0.0000, 0.5000, 0.0000), Li at (0.5000, 0.2474, 0.0000), Cr at (0.0000, 0.2482, 0.5000), Cr at (0.5000, 0.5000, 0.5000), Fe at (0.5000, 0.0000, 0.5000), O at (0.2412, 0.5000, 0.7264), O at (0.2461, 0.0000, 0.7237) and O at (0.2607, 0.2465, 0.2760).